Record 1
Here is a relaxed H10PtC2N2Cl2 crystal from the Open Quantum Materials Database. Energies are from PBE-GGA.

```
H10PtC2N2Cl2
1.0
10.3408 0.0000 0.0000
0.0000 10.3408 0.0000
0.0000 0.0000 6.3645
H Pt C N Cl
40 4 8 8 8
direct
0.0174 0.3112 0.1413
0.0174 0.3112 0.8587
0.1170 0.6234 0.0000
0.1234 0.6170 0.5000
0.1638 0.8327 0.1307
0.1638 0.8327 0.8693
0.1673 0.1638 0.1307
0.1673 0.1638 0.8693
0.1888 0.4826 0.3587
0.1888 0.4826 0.6413
0.3112 0.9826 0.1413
0.3112 0.9826 0.8587
0.3327 0.6638 0.3693
0.3327 0.6638 0.6307
0.3362 0.3327 0.3693
0.3362 0.3327 0.6307
0.3766 0.1170 0.0000
0.3830 0.1234 0.5000
0.4826 0.8112 0.3587
0.4826 0.8112 0.6413
0.5174 0.1888 0.3587
0.5174 0.1888 0.6413
0.6170 0.8766 0.5000
0.6234 0.8830 0.0000
0.6638 0.6673 0.3693
0.6638 0.6673 0.6307
0.6673 0.3362 0.3693
0.6673 0.3362 0.6307
0.6888 0.0174 0.1413
0.6888 0.0174 0.8587
0.8112 0.5174 0.3587
0.8112 0.5174 0.6413
0.8327 0.8362 0.1307
0.8327 0.8362 0.8693
0.8362 0.1673 0.1307
0.8362 0.1673 0.8693
0.8766 0.3830 0.5000
0.8830 0.3766 0.0000
0.9826 0.6888 0.1413
0.9826 0.6888 0.8587
0.0000 0.0000 0.0000
0.0000 0.0000 0.5000
0.5000 0.5000 0.0000
0.5000 0.5000 0.5000
0.0422 0.6990 0.0000
0.1990 0.5422 0.5000
0.3010 0.0422 0.0000
0.4578 0.1990 0.5000
0.5422 0.8010 0.5000
0.6990 0.9578 0.0000
0.8010 0.4578 0.5000
0.9578 0.3010 0.0000
0.1051 0.8277 0.0000
0.1723 0.1051 0.0000
0.3277 0.6051 0.5000
0.3949 0.3277 0.5000
0.6051 0.6723 0.5000
0.6723 0.3949 0.5000
0.8277 0.8949 0.0000
0.8949 0.1723 0.0000
0.1054 0.1996 0.5000
0.1996 0.8946 0.5000
0.3004 0.3946 0.0000
0.3946 0.6996 0.0000
0.6054 0.3004 0.0000
0.6996 0.6054 0.0000
0.8004 0.1054 0.5000
0.8946 0.8004 0.5000
```

Crystal system: tetragonal
Total DFT energy (no corrections): -336.6 eV for the cell shown
Symmetry: P4/mnc, No. 128

Record 2
Here is a relaxed KHfRe crystal from the Open Quantum Materials Database. Energies are from PBE-GGA.

```
KHfRe
1.0
0.0000 3.3382 3.3382
3.3382 0.0000 3.3382
3.3382 3.3382 0.0000
K Hf Re
1 1 1
direct
0.0000 0.0000 0.0000
0.5000 0.5000 0.5000
0.7500 0.7500 0.7500
```

Crystal system: cubic
Total DFT energy (no corrections): -18.5 eV for the cell shown
Symmetry: F-43m, No. 216

Record 3
Here is a relaxed La5Ir2 crystal from the Open Quantum Materials Database. Energies are from PBE-GGA.

```
La5Ir2
1.0
8.5453 -3.3836 0.0000
8.5453 3.3836 0.0000
-0.8243 0.0000 7.3675
La Ir
10 4
direct
0.0718 0.9282 0.7500
0.1457 0.2859 0.3199
0.2859 0.1457 0.8199
0.3044 0.5104 0.0840
0.4896 0.6956 0.4160
0.5104 0.3044 0.5840
0.6956 0.4896 0.9160
0.7141 0.8543 0.1801
0.8543 0.7141 0.6801
0.9282 0.0718 0.2500
0.0927 0.6840 0.4196
0.3160 0.9073 0.0804
0.6840 0.0927 0.9196
0.9073 0.3160 0.5804
```

Crystal system: monoclinic
Calculated formation energy: -0.566 eV/atom
Symmetry: C2/c, No. 15

Record 4
Here is a relaxed BeFe crystal from the Open Quantum Materials Database. Energies are from PBE-GGA.

```
BeFe
1.0
0.0000 2.3884 2.3884
2.3884 0.0000 2.3884
2.3884 2.3884 0.0000
Be Fe
1 1
direct
0.0000 0.0000 0.0000
0.7500 0.7500 0.7500
```

Crystal system: cubic
Total DFT energy (no corrections): -9.3 eV for the cell shown
Symmetry: F-43m, No. 216

Record 5
Here is a relaxed BaNaSmSe3 crystal from the Open Quantum Materials Database. Energies are from PBE-GGA.

```
BaNaSmSe3
1.0
2.2253 -7.1913 0.0000
2.2253 7.1913 0.0000
0.0000 0.0000 11.0328
Ba Na Sm Se
2 2 2 6
direct
0.2467 0.7533 0.7500
0.7533 0.2467 0.2500
0.0260 0.9740 0.2500
0.9740 0.0260 0.7500
0.5000 0.5000 0.0000
0.5000 0.5000 0.5000
0.1351 0.8649 0.0490
0.1351 0.8649 0.4510
0.4198 0.5802 0.2500
0.5802 0.4198 0.7500
0.8649 0.1351 0.5490
0.8649 0.1351 0.9510
```

Crystal system: orthorhombic
Total DFT energy (no corrections): -57.0 eV for the cell shown
Symmetry: Cmcm, No. 63

Record 6
Here is a relaxed Gd2Co12P7 crystal from the Open Quantum Materials Database. Energies are from PBE-GGA.

```
Gd2Co12P7
1.0
9.0020 0.0000 0.0000
-4.5010 7.7960 0.0000
0.0000 0.0000 3.5908
Gd Co P
2 12 7
direct
0.0000 0.0000 0.0000
0.3333 0.6667 0.5000
0.0494 0.7674 0.5000
0.0997 0.3926 0.0000
0.2326 0.2820 0.5000
0.2929 0.9003 0.0000
0.3949 0.2151 0.0000
0.5366 0.1009 0.5000
0.5643 0.4634 0.5000
0.6074 0.7071 0.0000
0.7180 0.9506 0.5000
0.7849 0.1798 0.0000
0.8202 0.6051 0.0000
0.8991 0.4357 0.5000
0.0724 0.6280 0.0000
0.2660 0.0425 0.5000
0.3720 0.4444 0.0000
0.5556 0.9276 0.0000
0.6667 0.3333 0.0000
0.7764 0.7340 0.5000
0.9575 0.2236 0.5000
```

Crystal system: hexagonal
Total DFT energy (no corrections): -148.8 eV for the cell shown
Symmetry: P-6, No. 174

Record 7
Here is a relaxed CsHfOs crystal from the Open Quantum Materials Database. Energies are from PBE-GGA.

```
CsHfOs
1.0
0.0000 3.2987 3.2987
3.2987 0.0000 3.2987
3.2987 3.2987 0.0000
Cs Hf Os
1 1 1
direct
0.0000 0.0000 0.0000
0.7500 0.7500 0.7500
0.2500 0.2500 0.2500
```

Crystal system: cubic
Total DFT energy (no corrections): -14.3 eV for the cell shown
Symmetry: F-43m, No. 216

Record 8
Here is a relaxed CoHgPbS3 crystal from the Open Quantum Materials Database. Energies are from PBE-GGA.

```
CoHgPbS3
1.0
1.9253 -6.1614 0.0000
1.9253 6.1614 0.0000
0.0000 0.0000 11.3461
Co Hg Pb S
2 2 2 6
direct
0.0281 0.9719 0.7500
0.9719 0.0281 0.2500
0.5000 0.5000 0.0000
0.5000 0.5000 0.5000
0.2594 0.7406 0.2500
0.7406 0.2594 0.7500
0.1323 0.8677 0.5866
0.1323 0.8677 0.9134
0.4322 0.5678 0.7500
0.5678 0.4322 0.2500
0.8677 0.1323 0.0866
0.8677 0.1323 0.4134
```

Crystal system: orthorhombic
Total DFT energy (no corrections): -48.5 eV for the cell shown
Symmetry: Cmcm, No. 63